Record 1
! Zr12Tl5Rh3 PBE relaxed; values from VASP
! E_form = 0.465 eV/atom
&SYSTEM
  ibrav = 0, nat = 80, ntyp = 3
/
ATOMIC_SPECIES
Rh 102.91 Rh.upf
Tl 204.38 Tl.upf
Zr 91.22 Zr.upf
CELL_PARAMETERS angstrom
14.200 0.000 0.000
-4.733 13.388 0.000
-4.733 -6.694 11.594
ATOMIC_POSITIONS crystal
Rh 0.750 0.375 0.125
Rh 0.875 0.750 0.125
Rh 0.375 0.750 0.625
Rh 0.250 0.125 0.375
Rh 0.875 0.125 0.250
Rh 0.375 0.625 0.250
Rh 0.625 0.375 0.750
Rh 0.125 0.875 0.750
Rh 0.750 0.875 0.625
Rh 0.625 0.250 0.375
Rh 0.125 0.250 0.875
Rh 0.250 0.625 0.875
Tl 0.125 0.375 0.250
Tl 0.000 0.500 0.000
Tl 0.000 0.000 0.000
Tl 0.375 0.250 0.125
Tl 0.500 0.000 0.500
Tl 0.500 0.500 0.000
Tl 0.125 0.750 0.375
Tl 0.750 0.125 0.875
Tl 0.750 0.625 0.375
Tl 0.375 0.125 0.750
Tl 0.625 0.875 0.250
Tl 0.500 0.500 0.500
Tl 0.500 0.000 0.000
Tl 0.000 0.000 0.500
Tl 0.250 0.375 0.625
Tl 0.250 0.875 0.125
Tl 0.000 0.500 0.500
Tl 0.875 0.250 0.625
Tl 0.625 0.750 0.875
Tl 0.875 0.625 0.750
Zr 0.739 0.135 0.079
Zr 0.341 0.579 0.445
Zr 0.921 0.365 0.261
Zr 0.579 0.239 0.135
Zr 0.604 0.739 0.659
Zr 0.921 0.555 0.159
Zr 0.341 0.761 0.396
Zr 0.055 0.896 0.135
Zr 0.555 0.921 0.659
Zr 0.739 0.604 0.159
Zr 0.761 0.421 0.365
Zr 0.841 0.945 0.079
Zr 0.135 0.739 0.579
Zr 0.365 0.445 0.104
Zr 0.104 0.945 0.365
Zr 0.396 0.135 0.555
Zr 0.104 0.159 0.239
Zr 0.421 0.659 0.055
Zr 0.841 0.896 0.261
Zr 0.135 0.396 0.055
Zr 0.365 0.921 0.761
Zr 0.555 0.635 0.396
Zr 0.945 0.841 0.579
Zr 0.761 0.341 0.896
Zr 0.445 0.365 0.604
Zr 0.055 0.159 0.421
Zr 0.239 0.659 0.104
Zr 0.159 0.104 0.739
Zr 0.635 0.079 0.239
Zr 0.865 0.604 0.945
Zr 0.579 0.341 0.945
Zr 0.604 0.865 0.445
Zr 0.896 0.841 0.761
Zr 0.896 0.055 0.635
Zr 0.865 0.261 0.421
Zr 0.159 0.055 0.921
Zr 0.635 0.555 0.896
Zr 0.445 0.079 0.341
Zr 0.261 0.396 0.841
Zr 0.239 0.579 0.635
Zr 0.945 0.104 0.865
Zr 0.659 0.239 0.604
Zr 0.421 0.761 0.865
Zr 0.079 0.445 0.841
Zr 0.396 0.261 0.341
Zr 0.079 0.635 0.739
Zr 0.659 0.421 0.555
Zr 0.261 0.865 0.921

=====

Record 2
! ZrTl3Rh PBE relaxed; values from VASP
! E_form = 1.186 eV/atom
! E above lowest polymorph = 300 kJ/mol of formula units
&SYSTEM
  ibrav = 0, nat = 5, ntyp = 3
/
ATOMIC_SPECIES
Tl 204.38 Tl.upf
Rh 102.91 Rh.upf
Zr 91.22 Zr.upf
CELL_PARAMETERS angstrom
5.554 0.000 0.000
0.000 5.554 0.000
0.000 0.000 5.554
ATOMIC_POSITIONS crystal
Tl 0.000 0.500 0.000
Tl 0.000 0.000 0.500
Tl 0.500 0.000 0.000
Rh 0.500 0.500 0.500
Zr 0.000 0.000 0.000

=====

Record 3
! ZrTlRh PBE relaxed; values from VASP
! E_form = 0.212 eV/atom
&SYSTEM
  ibrav = 0, nat = 3, ntyp = 3
/
ATOMIC_SPECIES
Rh 102.91 Rh.upf
Tl 204.38 Tl.upf
Zr 91.22 Zr.upf
CELL_PARAMETERS angstrom
4.633 0.000 0.000
2.316 4.012 0.000
2.316 1.337 3.783
ATOMIC_POSITIONS crystal
Rh 0.000 0.000 0.000
Tl 0.500 0.500 0.500
Zr 0.750 0.750 0.750

=====

Record 4
! Tm7Rh3 PBE relaxed; values from VASP
! E_form = -0.670 eV/atom
&SYSTEM
  ibrav = 0, nat = 20, ntyp = 2
/
ATOMIC_SPECIES
Tm 168.93 Tm.upf
Rh 102.91 Rh.upf
CELL_PARAMETERS angstrom
6.089 0.000 0.000
0.000 9.653 0.000
0.000 -4.826 8.359
ATOMIC_POSITIONS crystal
Tm 0.136 0.667 0.333
Tm 0.636 0.333 0.667
Tm 0.933 0.876 0.753
Tm 0.933 0.876 0.124
Tm 0.933 0.247 0.124
Tm 0.433 0.124 0.247
Tm 0.433 0.124 0.876
Tm 0.433 0.753 0.876
Tm 0.129 0.459 0.917
Tm 0.129 0.459 0.541
Tm 0.129 0.083 0.541
Tm 0.629 0.541 0.083
Tm 0.629 0.541 0.459
Tm 0.629 0.917 0.459
Rh 0.862 0.190 0.380
Rh 0.862 0.190 0.810
Rh 0.862 0.620 0.810
Rh 0.362 0.810 0.620
Rh 0.362 0.810 0.190
Rh 0.362 0.380 0.190